An optimized crystal structure of HfZr2Al3Cu2Ni, computed with PBE.

As for the crystal system: orthorhombic. The electronic total energy comes out at -6.21 eV/atom.

The structure belongs to space group Amm2 (No. 38); the cell edges are 3.9853, 11.2866 and 6.5764 Å and the angles 90.00°, 90.00° and 90.00°. The inequivalent atoms are Hf at (0.0000, 0.0000, 0.0000), Zr at (0.0000, 0.2046, 0.3871), Al at (0.5000, 0.0000, 0.3487), Al at (0.5000, 0.1225, 0.7134), Cu at (0.5000, 0.1645, 0.0904) and Ni at (0.0000, 0.0000, 0.5976).